The following is a PBE calculation of a relaxed TlCo2Se crystal, from the Alexandria database.

## Properties
For the final energy, the calculation gives -4.487 eV per atom. For the uncorrected formation energy, the calculation gives 0.529 eV per atom. The energy above the most stable polymorph in this dataset is 33.91 kJ/mol of atoms.

Structure (CIF):
```
data_TlCo2Se
_chemical_formula_sum 'Tl4 Co8 Se4'
_symmetry_space_group_name_H-M 'F m -3 m'
_symmetry_Int_Tables_number 225
_symmetry_space_group_name_Hall '-F 4 2 3'
_cell_length_a 6.351
_cell_length_b 6.351
_cell_length_c 6.351
_cell_angle_alpha 90.00
_cell_angle_beta 90.00
_cell_angle_gamma 90.00
loop_
_atom_site_label
_atom_site_fract_x
_atom_site_fract_y
_atom_site_fract_z
Tl1 0.000 0.000 0.000
Co1 0.250 0.250 0.250
Se1 0.000 0.000 0.500
```


The following is a PBE calculation of a relaxed TlCo2Se crystal, from the Alexandria database.

## Properties
For the final energy, the calculation gives -4.759 eV per atom. For the uncorrected formation energy, the calculation gives 0.257 eV per atom. The energy above the most stable polymorph in this dataset is 7.67 kJ/mol of atoms.

Structure (CIF):
```
data_TlCo2Se
_chemical_formula_sum 'Tl3 Co6 Se3'
_symmetry_space_group_name_H-M 'R -3 m'
_symmetry_Int_Tables_number 166
_symmetry_space_group_name_Hall '-R 3 2"'
_cell_length_a 3.8422
_cell_length_b 3.8422
_cell_length_c 16.3576
_cell_angle_alpha 90.00
_cell_angle_beta 90.00
_cell_angle_gamma 120.00
loop_
_atom_site_label
_atom_site_fract_x
_atom_site_fract_y
_atom_site_fract_z
Tl1 0.0000 0.0000 0.0000
Co1 0.0000 0.0000 0.2077
Se1 0.0000 0.0000 0.5000
```


The following is a PBE calculation of a relaxed TlCoSe crystal, from the Alexandria database.

## Properties
For the final energy, the calculation gives -4.288 eV per atom. For the uncorrected formation energy, the calculation gives 0.031 eV per atom. The energy above the most stable polymorph in this dataset is 18.02 kJ/mol of atoms.

Structure (CIF):
```
data_TlCoSe
_chemical_formula_sum 'Tl1 Co1 Se1'
_symmetry_space_group_name_H-M 'P 3 m 1'
_symmetry_Int_Tables_number 156
_symmetry_space_group_name_Hall 'P 3 -2"'
_cell_length_a 3.9730
_cell_length_b 3.9730
_cell_length_c 5.1490
_cell_angle_alpha 90.00
_cell_angle_beta 90.00
_cell_angle_gamma 120.00
loop_
_atom_site_label
_atom_site_fract_x
_atom_site_fract_y
_atom_site_fract_z
Tl1 0.0000 0.0000 0.0000
Co1 0.3333 0.6667 0.4960
Se1 0.6667 0.3333 0.4996
```


The following is a PBE calculation of a relaxed TlCo2Se crystal, from the Alexandria database.

## Properties
For the final energy, the calculation gives -4.544 eV per atom. For the uncorrected formation energy, the calculation gives 0.472 eV per atom. The energy above the most stable polymorph in this dataset is 28.38 kJ/mol of atoms.

Structure (CIF):
```
data_TlCo2Se
_chemical_formula_sum 'Tl1 Co2 Se1'
_symmetry_space_group_name_H-M 'P 1 2/m 1'
_symmetry_Int_Tables_number 10
_symmetry_space_group_name_Hall '-P 2y'
_cell_length_a 3.157
_cell_length_b 3.716
_cell_length_c 6.076
_cell_angle_alpha 90.00
_cell_angle_beta 92.51
_cell_angle_gamma 90.00
loop_
_atom_site_label
_atom_site_fract_x
_atom_site_fract_y
_atom_site_fract_z
Tl1 0.000 0.000 0.000
Co1 0.251 0.500 0.673
Se1 0.500 0.000 0.500
```


The following is a PBE calculation of a relaxed TlCoSe crystal, from the Alexandria database.

## Properties
For the final energy, the calculation gives -4.475 eV per atom. For the uncorrected formation energy, the calculation gives -0.156 eV per atom. The energy above the most stable polymorph in this dataset is 0.00 kJ/mol of atoms.

Structure (CIF):
```
data_TlCoSe
_chemical_formula_sum 'Tl2 Co2 Se2'
_symmetry_space_group_name_H-M 'P 4/n m m'
_symmetry_Int_Tables_number 129
_cell_length_a 3.603
_cell_length_b 3.603
_cell_length_c 10.415
_cell_angle_alpha 90.00
_cell_angle_beta 90.00
_cell_angle_gamma 90.00
loop_
_symmetry_equiv_pos_as_xyz
'x,y,z'
'-x,-y,-z'
'-y+1/2,x,z'
'y+1/2,-x,-z'
'-x+1/2,-y+1/2,z'
'x+1/2,y+1/2,-z'
'y,-x+1/2,z'
'-y,x+1/2,-z'
'x+1/2,-y,-z'
'-x+1/2,y,z'
'-y,-x,-z'
'y,x,z'
'-x,y+1/2,-z'
'x,-y+1/2,z'
'y+1/2,x+1/2,-z'
'-y+1/2,-x+1/2,z'
loop_
_atom_site_label
_atom_site_fract_x
_atom_site_fract_y
_atom_site_fract_z
Tl1 0.250 0.250 0.117
Co1 0.250 0.750 0.500
Se1 0.250 0.250 0.641
```


The following is a PBE calculation of a relaxed TlCo2Se crystal, from the Alexandria database.

## Properties
For the final energy, the calculation gives -4.370 eV per atom. For the uncorrected formation energy, the calculation gives 0.646 eV per atom. The energy above the most stable polymorph in this dataset is 45.18 kJ/mol of atoms.

Structure (CIF):
```
data_TlCo2Se
_chemical_formula_sum 'Tl2 Co4 Se2'
_symmetry_space_group_name_H-M 'C 1 2/m 1'
_symmetry_Int_Tables_number 12
_symmetry_space_group_name_Hall '-C 2y'
_cell_length_a 6.107
_cell_length_b 8.203
_cell_length_c 3.450
_cell_angle_alpha 90.00
_cell_angle_beta 123.43
_cell_angle_gamma 90.00
loop_
_atom_site_label
_atom_site_fract_x
_atom_site_fract_y
_atom_site_fract_z
Tl1 0.000 0.000 0.000
Co1 0.250 0.250 0.000
Se1 0.000 0.500 0.000
```


The following is a PBE calculation of a relaxed TlCo2Se crystal, from the Alexandria database.

## Properties
For the final energy, the calculation gives -4.785 eV per atom. For the uncorrected formation energy, the calculation gives 0.231 eV per atom. The energy above the most stable polymorph in this dataset is 5.15 kJ/mol of atoms.

Structure (CIF):
```
data_TlCo2Se
_chemical_formula_sum 'Tl1 Co2 Se1'
_symmetry_space_group_name_H-M 'P 4 m m'
_symmetry_Int_Tables_number 99
_symmetry_space_group_name_Hall 'P 4 -2'
_cell_length_a 3.205
_cell_length_b 3.205
_cell_length_c 6.742
_cell_angle_alpha 90.00
_cell_angle_beta 90.00
_cell_angle_gamma 90.00
loop_
_atom_site_label
_atom_site_fract_x
_atom_site_fract_y
_atom_site_fract_z
Tl1 0.000 0.000 0.000
Co1 0.000 0.000 0.441
Co2 0.500 0.500 0.232
Se1 0.500 0.500 0.572
```


The following is a PBE calculation of a relaxed TlCo2Se crystal, from the Alexandria database.

## Properties
For the final energy, the calculation gives -4.769 eV per atom. For the uncorrected formation energy, the calculation gives 0.247 eV per atom. The energy above the most stable polymorph in this dataset is 6.70 kJ/mol of atoms.

Structure (CIF):
```
data_TlCo2Se
_chemical_formula_sum 'Tl2 Co4 Se2'
_symmetry_space_group_name_H-M 'C 1 2/m 1'
_symmetry_Int_Tables_number 12
_symmetry_space_group_name_Hall '-C 2y'
_cell_length_a 6.828
_cell_length_b 3.680
_cell_length_c 6.474
_cell_angle_alpha 90.00
_cell_angle_beta 121.15
_cell_angle_gamma 90.00
loop_
_atom_site_label
_atom_site_fract_x
_atom_site_fract_y
_atom_site_fract_z
Tl1 0.000 0.000 0.000
Co1 0.239 0.000 0.633
Se1 0.000 0.500 0.500
```


The following is a PBE calculation of a relaxed TlCo2Se crystal, from the Alexandria database.

## Properties
For the final energy, the calculation gives -4.833 eV per atom. For the uncorrected formation energy, the calculation gives 0.182 eV per atom. The energy above the most stable polymorph in this dataset is 0.46 kJ/mol of atoms.

Structure (CIF):
```
data_TlCo2Se
_chemical_formula_sum 'Tl1 Co2 Se1'
_symmetry_space_group_name_H-M 'P 1 m 1'
_symmetry_Int_Tables_number 6
_symmetry_space_group_name_Hall 'P -2y'
_cell_length_a 3.552
_cell_length_b 3.557
_cell_length_c 6.477
_cell_angle_alpha 90.00
_cell_angle_beta 90.65
_cell_angle_gamma 90.00
loop_
_atom_site_label
_atom_site_fract_x
_atom_site_fract_y
_atom_site_fract_z
Tl1 0.000 0.000 0.000
Co1 0.007 0.500 0.328
Co2 0.507 0.000 0.328
Se1 0.512 0.500 0.550
```


The following is a PBE calculation of a relaxed TlCoSe crystal, from the Alexandria database.

## Properties
For the final energy, the calculation gives -4.264 eV per atom. For the uncorrected formation energy, the calculation gives 0.055 eV per atom. The energy above the most stable polymorph in this dataset is 20.36 kJ/mol of atoms.

Structure (CIF):
```
data_TlCoSe
_chemical_formula_sum 'Tl2 Co2 Se2'
_symmetry_space_group_name_H-M 'I 4 m m'
_symmetry_Int_Tables_number 107
_symmetry_space_group_name_Hall 'I 4 -2'
_cell_length_a 3.117
_cell_length_b 3.117
_cell_length_c 13.530
_cell_angle_alpha 90.00
_cell_angle_beta 90.00
_cell_angle_gamma 90.00
loop_
_atom_site_label
_atom_site_fract_x
_atom_site_fract_y
_atom_site_fract_z
Tl1 0.000 0.000 0.000
Co1 0.000 0.000 0.322
Se1 0.000 0.000 0.756
```